Model w:
# LiTc2Pt PBE optimized geometry
data_LiTc2Pt
_cell_length_a 9.4694
_cell_length_b 9.4694
_cell_length_c 9.4694
_cell_angle_alpha 16.55
_cell_angle_beta 16.55
_cell_angle_gamma 16.55
_symmetry_space_group_name_H-M 'P 1'
_symmetry_Int_Tables_number 1
loop_
_symmetry_equiv_pos_as_xyz
'x,y,z'
loop_
_atom_site_label
_atom_site_fract_x
_atom_site_fract_y
_atom_site_fract_z
Tc1 0.4975 0.4975 0.4975
Tc2 0.0025 0.0025 0.0025
Li1 0.2500 0.2500 0.2500
Pt1 0.7500 0.7500 0.7500
# Density of states at the Fermi level = 6.0 states/eV/f.u.
# Density = 11.0 g/cm³

Model x:
# LiTc2Pt PBE optimized geometry
data_LiTc2Pt
_cell_length_a 4.8919
_cell_length_b 4.8919
_cell_length_c 4.5491
_cell_angle_alpha 82.29
_cell_angle_beta 82.29
_cell_angle_gamma 32.04
_symmetry_space_group_name_H-M 'P 1'
_symmetry_Int_Tables_number 1
loop_
_symmetry_equiv_pos_as_xyz
'x,y,z'
loop_
_atom_site_label
_atom_site_fract_x
_atom_site_fract_y
_atom_site_fract_z
Tc1 0.4899 0.4899 0.4989
Tc2 0.0101 0.0101 0.0011
Li1 0.2500 0.2500 0.2500
Pt1 0.7500 0.7500 0.7500
# Density of states at the Fermi level = 1.9 states/eV/f.u.
# Density = 11.6 g/cm³

Model y:
# LiTc2Pt PBE optimized geometry
data_LiTc2Pt
_cell_length_a 4.1634
_cell_length_b 2.6559
_cell_length_c 5.2085
_cell_angle_alpha 79.80
_cell_angle_beta 90.00
_cell_angle_gamma 90.00
_symmetry_space_group_name_H-M 'P 1'
_symmetry_Int_Tables_number 1
loop_
_symmetry_equiv_pos_as_xyz
'x,y,z'
loop_
_atom_site_label
_atom_site_fract_x
_atom_site_fract_y
_atom_site_fract_z
Tc1 0.5000 0.2761 0.2514
Tc2 0.0000 0.0609 0.0199
Li1 0.0000 0.4985 0.5052
Pt1 0.5000 0.6645 0.7235
# Density of states at the Fermi level = 2.9 states/eV/f.u.
# Density = 11.7 g/cm³

Model z:
# LiTc2Pt PBE optimized geometry
data_LiTc2Pt
_cell_length_a 4.3890
_cell_length_b 3.5813
_cell_length_c 3.5813
_cell_angle_alpha 90.00
_cell_angle_beta 90.00
_cell_angle_gamma 90.00
_symmetry_space_group_name_H-M 'P 1'
_symmetry_Int_Tables_number 1
loop_
_symmetry_equiv_pos_as_xyz
'x,y,z'
loop_
_atom_site_label
_atom_site_fract_x
_atom_site_fract_y
_atom_site_fract_z
Li1 0.5000 0.5000 0.0000
Pt1 0.5000 0.0000 0.5000
Tc1 0.0000 0.0000 0.0000
Tc2 0.0000 0.5000 0.5000
# Density of states at the Fermi level = 3.6 states/eV/f.u.
# Density = 11.7 g/cm³

Bottom line: model y, by a margin of 6 meV/atom.

Model w:
# LiTePt PBE optimized geometry
data_LiTePt
_cell_length_a 4.3989
_cell_length_b 4.3989
_cell_length_c 4.3989
_cell_angle_alpha 60.00
_cell_angle_beta 60.00
_cell_angle_gamma 60.00
_symmetry_space_group_name_H-M 'P 1'
_symmetry_Int_Tables_number 1
loop_
_symmetry_equiv_pos_as_xyz
'x,y,z'
loop_
_atom_site_label
_atom_site_fract_x
_atom_site_fract_y
_atom_site_fract_z
Pt1 0.7500 0.7500 0.7500
Li1 0.5000 0.5000 0.5000
Te1 0.0000 0.0000 0.0000
# Density of states at the Fermi level = 1.5 states/eV/f.u.
# Density = 9.1 g/cm³

Model x:
# LiTePt PBE optimized geometry
data_LiTePt
_cell_length_a 4.7615
_cell_length_b 4.7615
_cell_length_c 4.7615
_cell_angle_alpha 134.26
_cell_angle_beta 134.21
_cell_angle_gamma 66.72
_symmetry_space_group_name_H-M 'P 1'
_symmetry_Int_Tables_number 1
loop_
_symmetry_equiv_pos_as_xyz
'x,y,z'
loop_
_atom_site_label
_atom_site_fract_x
_atom_site_fract_y
_atom_site_fract_z
Pt1 0.3315 0.3315 0.0000
Te1 0.6714 0.6714 0.0000
Li1 0.9971 0.9971 0.0000
# Density of states at the Fermi level = 1.4 states/eV/f.u.
# Density = 10.0 g/cm³

Bottom line: model w, by a margin of 238 meV/atom.

Model w:
# LiTePt PBE optimized geometry
data_LiTePt
_cell_length_a 6.1971
_cell_length_b 6.1968
_cell_length_c 3.1362
_cell_angle_alpha 75.35
_cell_angle_beta 75.34
_cell_angle_gamma 29.32
_symmetry_space_group_name_H-M 'P 1'
_symmetry_Int_Tables_number 1
loop_
_symmetry_equiv_pos_as_xyz
'x,y,z'
loop_
_atom_site_label
_atom_site_fract_x
_atom_site_fract_y
_atom_site_fract_z
Pt1 0.6569 0.6569 0.3431
Te1 0.3211 0.3211 0.6789
Li1 0.0220 0.0220 0.9780
# Density of states at the Fermi level = 1.7 states/eV/f.u.
# Density = 9.6 g/cm³

Model x:
# LiTePt PBE optimized geometry
data_LiTePt
_cell_length_a 6.4376
_cell_length_b 7.3278
_cell_length_c 6.5474
_cell_angle_alpha 72.17
_cell_angle_beta 69.55
_cell_angle_gamma 103.29
_symmetry_space_group_name_H-M 'P 1'
_symmetry_Int_Tables_number 1
loop_
_symmetry_equiv_pos_as_xyz
'x,y,z'
loop_
_atom_site_label
_atom_site_fract_x
_atom_site_fract_y
_atom_site_fract_z
Li1 0.3850 0.7177 0.2013
Li2 0.8535 0.8626 0.2140
Li3 0.4532 0.1171 0.8105
Li4 0.8416 0.5692 0.7507
Te1 0.5417 0.7848 0.7052
Te2 0.1130 0.3269 0.7901
Te3 0.6456 0.4315 0.2717
Te4 0.1807 0.9943 0.3627
Pt1 0.6618 0.1422 0.0974
Pt2 0.0861 0.6799 0.9769
Pt3 0.8840 0.9818 0.7860
Pt4 0.3612 0.3921 0.0335
# Density of states at the Fermi level = 0.4 states/eV/f.u.
# Density = 8.6 g/cm³

Model y:
# LiTePt PBE optimized geometry
data_LiTePt
_cell_length_a 4.5342
_cell_length_b 4.5342
_cell_length_c 3.3378
_cell_angle_alpha 90.00
_cell_angle_beta 90.00
_cell_angle_gamma 120.00
_symmetry_space_group_name_H-M 'P 1'
_symmetry_Int_Tables_number 1
loop_
_symmetry_equiv_pos_as_xyz
'x,y,z'
loop_
_atom_site_label
_atom_site_fract_x
_atom_site_fract_y
_atom_site_fract_z
Li1 0.0000 0.0000 0.0007
Te1 0.6667 0.3333 0.4997
Pt1 0.3333 0.6667 0.4996
# Density of states at the Fermi level = 1.4 states/eV/f.u.
# Density = 9.2 g/cm³

Bottom line: model x, by a margin of 43 meV/atom.

Model w:
# LiTe2Pt2 PBE optimized geometry
data_LiTe2Pt2
_cell_length_a 3.9671
_cell_length_b 3.9671
_cell_length_c 7.6833
_cell_angle_alpha 75.04
_cell_angle_beta 75.04
_cell_angle_gamma 90.00
_symmetry_space_group_name_H-M 'P 1'
_symmetry_Int_Tables_number 1
loop_
_symmetry_equiv_pos_as_xyz
'x,y,z'
loop_
_atom_site_label
_atom_site_fract_x
_atom_site_fract_y
_atom_site_fract_z
Te1 0.3844 0.3844 0.2313
Te2 0.6156 0.6156 0.7687
Pt1 0.7500 0.2500 0.5000
Pt2 0.2500 0.7500 0.5000
Li1 0.0000 0.0000 0.0000
# Density of states at the Fermi level = 3.0 states/eV/f.u.
# Density = 9.6 g/cm³

Model x:
# LiTe2Pt2 PBE optimized geometry
data_LiTe2Pt2
_cell_length_a 5.2262
_cell_length_b 5.2262
_cell_length_c 5.6203
_cell_angle_alpha 62.29
_cell_angle_beta 62.29
_cell_angle_gamma 90.00
_symmetry_space_group_name_H-M 'P 1'
_symmetry_Int_Tables_number 1
loop_
_symmetry_equiv_pos_as_xyz
'x,y,z'
loop_
_atom_site_label
_atom_site_fract_x
_atom_site_fract_y
_atom_site_fract_z
Li1 0.0000 0.0000 0.0000
Te1 0.7500 0.2500 0.5000
Te2 0.2500 0.7500 0.5000
Pt1 0.3332 0.3332 0.3337
Pt2 0.6668 0.6668 0.6663
# Density of states at the Fermi level = 2.4 states/eV/f.u.
# Density = 9.4 g/cm³

Bottom line: model x, by a margin of 74 meV/atom.

Model w:
# Li2Th2Pt3 PBE optimized geometry
data_Li2Th2Pt3
_cell_length_a 3.9876
_cell_length_b 7.7188
_cell_length_c 10.4519
_cell_angle_alpha 81.23
_cell_angle_beta 79.00
_cell_angle_gamma 75.03
_symmetry_space_group_name_H-M 'P 1'
_symmetry_Int_Tables_number 1
loop_
_symmetry_equiv_pos_as_xyz
'x,y,z'
loop_
_atom_site_label
_atom_site_fract_x
_atom_site_fract_y
_atom_site_fract_z
Li1 0.4184 0.5044 0.6589
Li2 0.0398 0.2468 0.6735
Li3 0.9602 0.7532 0.3265
Li4 0.5816 0.4956 0.3411
Th1 0.7290 0.8791 0.6629
Th2 0.2710 0.1209 0.3371
Th3 0.6119 0.7354 0.0407
Th4 0.3881 0.2646 0.9593
Pt1 0.3724 0.7709 0.4842
Pt2 0.0834 0.9693 0.8639
Pt3 0.9166 0.0307 0.1361
Pt4 0.6276 0.2291 0.5158
Pt5 0.8325 0.5078 0.8273
Pt6 0.1675 0.4922 0.1727
# Density of states at the Fermi level = 3.9 states/eV/f.u.
# Density = 11.6 g/cm³

Model x:
# Li2Th2Pt3 PBE optimized geometry
data_Li2Th2Pt3
_cell_length_a 4.2211
_cell_length_b 7.2410
_cell_length_c 5.4774
_cell_angle_alpha 83.82
_cell_angle_beta 89.89
_cell_angle_gamma 106.97
_symmetry_space_group_name_H-M 'P 1'
_symmetry_Int_Tables_number 1
loop_
_symmetry_equiv_pos_as_xyz
'x,y,z'
loop_
_atom_site_label
_atom_site_fract_x
_atom_site_fract_y
_atom_site_fract_z
Pt1 0.0000 0.0000 0.0000
Pt2 0.7326 0.4649 0.3376
Pt3 0.2674 0.5351 0.6624
Th1 0.6422 0.2847 0.8886
Th2 0.3578 0.7153 0.1114
Li1 0.0997 0.1997 0.3992
Li2 0.9003 0.8003 0.6008
# Density of states at the Fermi level = 3.4 states/eV/f.u.
# Density = 11.1 g/cm³

Bottom line: model x, by a margin of 31 meV/atom.